## Li2PtSeF (SCAN)

Data for a PBEsol-optimized structure of Li2PtSeF.

Results
As for the formation energy from raw total energies: -12.31 kcal/mol of atoms. As for the space group: No. 123.

Unit cell a=3.837 b=4.939 c=4.939 alpha=90.00 beta=90.00 gamma=90.00
Each line ends with the local moment (μB).
Positions (direct):
Li1 0.000 0.000 0.500  0.00
Pt1 0.000 0.000 0.000  0.25
Se1 0.500 0.500 0.500  0.47
F1 0.500 0.000 0.000  0.02
Li2 0.000 0.500 0.000  0.00

***

## LuNi3 (SCAN)

Data for a PBEsol-optimized structure of LuNi3.

Results
The calculation puts the energy of formation from the pure elements at -0.366 eV/atom. As for the space group: No. 221.

Unit cell a=3.726 b=3.726 c=3.726 alpha=90.00 beta=90.00 gamma=90.00
Each line ends with the local moment (μB).
Positions (direct):
Ni1 0.000 0.500 0.500  -0.29
Ni2 0.500 0.500 0.000  -0.29
Lu1 0.000 0.000 0.000  0.14
Ni3 0.500 0.000 0.500  -0.29

***

## LaZrSc2 (SCAN)

Data for a PBEsol-optimized structure of LaZrSc2.

Results
The calculation puts the energy of formation from the pure elements at 0.116 eV/atom. The energy above the most stable polymorph in this dataset comes out at 0.045 eV per atom. As for the space group: No. 99.

Unit cell a=3.244 b=3.244 c=9.641 alpha=90.00 beta=90.00 gamma=90.00
Positions (direct):
Sc1 0.500 0.500 0.259
La1 0.500 0.500 0.746
Sc2 0.000 0.000 0.016
Zr1 0.000 0.000 0.479

***

## Tl2ReOs (SCAN)

Data for a PBEsol-optimized structure of Tl2ReOs.

Results
The calculation puts the energy of formation from the pure elements at 1.300 eV/atom. The energy above the most stable polymorph in this dataset comes out at 0.000 eV per atom. As for the space group: No. 65.

Unit cell a=2.970 b=2.970 c=9.314 alpha=90.00 beta=90.00 gamma=118.94
Each line ends with the local moment (μB).
Positions (direct):
Tl1 0.000 0.000 0.747  -0.01
Tl2 0.000 0.000 0.253  -0.01
Os1 0.500 0.500 0.500  -0.22
Re1 0.500 0.500 0.000  0.62